1.
VASP calculation (PBE) on a relaxed structure of CaMg2Ni.

Summary:
E_form: 0.07 eV/atom

POSCAR file:
```
CaMg2Ni
1.0
4.837 0.000 0.000
0.000 4.216 0.000
0.000 0.000 4.216
Ni Mg Ca
1 2 1
direct
0.500 0.500 0.000
0.000 0.000 0.000
0.000 0.500 0.500
0.500 0.000 0.500
```


2.
VASP calculation (PBE) on a relaxed structure of ReTcPd.

Summary:
polymorph energy (0 for the lowest one): 0.062 eV/atom
E_form: 0.03 eV/atom

POSCAR file:
```
ReTcPd
1.0
-1.505 -3.697 2.651
-0.266 0.183 -2.719
7.358 -3.689 -0.967
Re Tc Pd
2 2 2
direct
0.750 0.500 0.238
0.250 0.500 0.762
0.750 0.500 0.918
0.250 0.500 0.082
0.750 0.500 0.587
0.250 0.500 0.413
```


3.
VASP calculation (PBE) on a relaxed structure of Ba2AcTbSe4.

Summary:
ΔE_f (raw): -1903 meV per atom

POSCAR file:
```
Ba2AcTbSe4
1.0
4.441 0.000 0.000
0.000 7.690 0.136
0.000 -2.686 7.415
Se Ac Ba Tb
4 1 2 1
direct
0.000 0.757 0.226
0.500 0.227 0.219
0.000 0.243 0.774
0.500 0.773 0.781
0.500 0.500 0.000
0.500 0.000 0.500
0.000 0.500 0.500
0.000 0.000 0.000
```


4.
VASP calculation (PBE) on a relaxed structure of Ce2CuSi4Ir3.

Summary:
ΔE_f (raw): -898 meV per atom

POSCAR file:
```
Ce2CuSi4Ir3
1.0
-0.767 -3.494 -2.136
3.835 -1.375 0.873
-3.405 -4.278 8.222
Si Cu Ir Ce
4 1 3 2
direct
0.000 0.500 0.370
0.500 0.000 0.630
0.500 0.500 0.000
0.000 0.000 0.000
0.500 0.500 0.500
0.000 0.000 0.500
0.000 0.500 0.127
0.500 0.000 0.873
0.500 0.000 0.247
0.000 0.500 0.753
```


5.
VASP calculation (PBE) on a relaxed structure of Er3TmTh5.

Summary:
E_form: 0.46 eV/atom

POSCAR file:
```
Er3TmTh5
1.0
-8.799 -2.462 1.002
1.149 -0.398 9.111
1.986 8.217 -4.528
Th Tm Er
10 2 6
direct
0.919 0.419 0.255
0.835 0.919 0.255
0.419 0.335 0.255
0.081 0.581 0.745
0.000 0.000 0.000
0.500 0.500 0.000
0.665 0.165 0.745
0.581 0.665 0.745
0.165 0.081 0.745
0.335 0.835 0.255
0.250 0.750 0.500
0.750 0.250 0.500
0.604 0.104 0.000
0.750 0.750 0.500
0.104 0.396 0.000
0.896 0.604 0.000
0.250 0.250 0.500
0.396 0.896 0.000
```


6.
VASP calculation (PBE) on a relaxed structure of TeMoPb2.

Summary:
ΔE_f (raw): 674 meV per atom

POSCAR file:
```
TeMoPb2
1.0
5.480 -0.032 0.000
-1.440 5.287 0.000
0.000 0.000 3.592
Mo Te Pb
1 1 2
direct
0.000 0.500 0.500
0.500 0.000 0.500
0.000 0.000 0.000
0.500 0.500 0.000
```


7.
VASP calculation (PBE) on a relaxed structure of Ta2NiOs.

Summary:
polymorph energy (0 for the lowest one): 0.205 eV/atom
E_form: -0.05 eV/atom

POSCAR file:
```
Ta2NiOs
1.0
4.423 0.000 0.000
2.212 3.831 0.000
2.212 1.277 3.612
Os Ni Ta
1 1 2
direct
0.750 0.750 0.750
0.500 0.500 0.500
0.000 0.000 0.000
0.250 0.250 0.250
```


8.
VASP calculation (PBE) on a relaxed structure of TaAgHg2.

Summary:
E_form: 0.31 eV/atom

POSCAR file:
```
TaAgHg2
1.0
-0.888 -10.168 2.642
1.981 -9.771 3.432
-0.215 -9.078 5.358
Hg Ag Ta
2 1 1
direct
0.245 0.245 0.245
0.005 0.005 0.005
0.754 0.754 0.754
0.497 0.497 0.497
```


Number 1: spin magnetization 0.0 Bohr magnetons per cell, total energy -2.669 eV/atom. Number 2: spin magnetization 0.0 Bohr magnetons per cell, total energy -9.303 eV/atom. Number 3: spin magnetization 0.0 Bohr magnetons per cell, total energy -5.219 eV/atom. Number 4: spin magnetization 0.0 Bohr magnetons per cell, total energy -7.322 eV/atom. Number 5: spin magnetization 0.0 Bohr magnetons per cell, total energy -5.683 eV/atom. Number 6: spin magnetization 2.5 Bohr magnetons per cell, total energy -4.673 eV/atom. Number 7: spin magnetization 0.0 Bohr magnetons per cell, total energy -10.225 eV/atom. Number 8: spin magnetization 0.0 Bohr magnetons per cell, total energy -3.517 eV/atom.